No. 1
Tb6GaTe3: relaxed, GGA-PBE.

Values from the calculation:
* energy relative to the elements, uncorrected: -0.85 eV per atom
* electronic total energy: -4.87 eV per atom
* crystal system: monoclinic
* D(E_F): 0.965 states/eV/atom
* size of the total moment: 0.001 μB per atom

Cell lengths 12.1180, 4.0373, 12.6308 Å; angles 90.00, 104.18, 90.00 degrees
Positions (direct):
Tb  0.0115  0.2500  0.3534
Tb  0.0845  0.2500  0.8889
Tb  0.2604  0.7500  0.2990
Tb  0.2919  0.7500  0.7571
Tb  0.3927  0.2500  0.5423
Tb  0.4448  0.7500  0.1299
Tb  0.5552  0.2500  0.8701
Tb  0.6073  0.7500  0.4577
Tb  0.7081  0.2500  0.2429
Tb  0.7396  0.2500  0.7010
Tb  0.9155  0.7500  0.1111
Tb  0.9885  0.7500  0.6466
Ga  0.4588  0.2500  0.3129
Ga  0.5412  0.7500  0.6871
Te  0.1119  0.2500  0.1429
Te  0.1756  0.7500  0.5100
Te  0.3412  0.2500  0.9496
Te  0.6588  0.7500  0.0504
Te  0.8244  0.2500  0.4900
Te  0.8881  0.7500  0.8571

No. 2
TbGaTe2: relaxed, GGA-PBE.

Values from the calculation:
* energy relative to the elements, uncorrected: -0.86 eV per atom
* electronic total energy: -4.34 eV per atom
* crystal system: trigonal
* D(E_F): 0.114 states/eV/atom
* size of the total moment: 0.000 μB per atom

Cell lengths 4.2952, 4.2952, 23.8077 Å; angles 90.00, 90.00, 120.00 degrees
Positions (direct):
Tb  0.0000  0.0000  0.0000
Tb  0.3333  0.6667  0.6667
Tb  0.6667  0.3333  0.3333
Ga  0.0000  0.0000  0.1671
Ga  0.3333  0.6667  0.8337
Ga  0.6667  0.3333  0.5004
Te  0.0000  0.0000  0.5876
Te  0.0000  0.0000  0.7481
Te  0.3333  0.6667  0.2543
Te  0.3333  0.6667  0.4147
Te  0.6667  0.3333  0.0814
Te  0.6667  0.3333  0.9209

No. 3
Tb2GaTe: relaxed, GGA-PBE.

Values from the calculation:
* energy relative to the elements, uncorrected: -1.02 eV per atom
* electronic total energy: -4.88 eV per atom
* crystal system: orthorhombic
* distance to the lowest polymorph of the same formula: 0 meV/atom
* D(E_F): 0.729 states/eV/atom
* size of the total moment: 0.000 μB per atom

Cell lengths 4.3948, 23.4335, 4.1737 Å; angles 90.00, 90.00, 90.00 degrees
Positions (direct):
Tb  0.0000  0.0619  0.2500
Tb  0.0000  0.3332  0.2500
Tb  0.0000  0.6668  0.7500
Tb  0.0000  0.9381  0.7500
Tb  0.5000  0.1668  0.7500
Tb  0.5000  0.4381  0.7500
Tb  0.5000  0.5619  0.2500
Tb  0.5000  0.8332  0.2500
Ga  0.0000  0.4621  0.2500
Ga  0.0000  0.5379  0.7500
Ga  0.5000  0.0379  0.7500
Ga  0.5000  0.9621  0.2500
Te  0.0000  0.1944  0.2500
Te  0.0000  0.8056  0.7500
Te  0.5000  0.3056  0.7500
Te  0.5000  0.6944  0.2500

No. 4
Tb4TlGaTe2: relaxed, GGA-PBE.

Values from the calculation:
* energy relative to the elements, uncorrected: -0.87 eV per atom
* electronic total energy: -4.65 eV per atom
* crystal system: monoclinic
* D(E_F): 0.522 states/eV/atom
* size of the total moment: 0.000 μB per atom

Cell lengths 7.2308, 4.1758, 8.0509 Å; angles 90.00, 107.47, 90.00 degrees
Positions (direct):
Tb  0.2394  0.0000  0.2408
Tb  0.2430  0.5000  0.7526
Tb  0.7570  0.5000  0.2474
Tb  0.7606  0.0000  0.7592
Tl  0.5000  0.0000  0.0000
Ga  0.0000  0.5000  0.0000
Te  0.0000  0.0000  0.5000
Te  0.5000  0.5000  0.5000

No. 5
TbTl2GaTe4: relaxed, GGA-PBE.

Values from the calculation:
* energy relative to the elements, uncorrected: -0.57 eV per atom
* electronic total energy: -3.69 eV per atom
* crystal system: orthorhombic
* D(E_F): 0.476 states/eV/atom
* size of the total moment: 0.000 μB per atom

Cell lengths 9.1014, 9.1014, 9.1014 Å; angles 121.11, 120.66, 88.48 degrees
Positions (direct):
Tb  0.5000  0.0000  0.0000
Tb  0.5000  0.5000  0.5000
Tl  0.0000  0.0000  0.0000
Tl  0.0000  0.0000  0.5000
Tl  0.0000  0.5000  0.0000
Tl  0.5000  0.0000  0.5000
Ga  0.0000  0.5000  0.5000
Ga  0.5000  0.5000  0.0000
Te  0.2527  0.7350  0.5177
Te  0.2595  0.2899  0.5304
Te  0.2595  0.7292  0.9696
Te  0.2828  0.2650  0.0177
Te  0.7172  0.7350  0.9823
Te  0.7405  0.2708  0.0304
Te  0.7405  0.7101  0.4696
Te  0.7473  0.2650  0.4823

No. 6
Tb2ThGa6: relaxed, GGA-PBE.

Values from the calculation:
* electronic total energy: -4.29 eV per atom
* crystal system: orthorhombic
* ΔH_f (0 K): -3.79 eV/f.u.
* distance to the lowest polymorph of the same formula: 224 meV/atom
* D(E_F): 0.796 states/eV/atom
* size of the total moment: 0.000 μB per atom

Cell lengths 7.8919, 7.8919, 7.8919 Å; angles 148.41, 126.29, 63.66 degrees
Positions (direct):
Tb  0.1299  0.1299  0.0000
Tb  0.8701  0.8701  0.0000
Th  0.5000  0.0000  0.5000
Ga  0.1333  0.3222  0.8111
Ga  0.1808  0.5000  0.6808
Ga  0.4889  0.6778  0.8111
Ga  0.5111  0.3222  0.1889
Ga  0.8192  0.5000  0.3192
Ga  0.8667  0.6778  0.1889

> The lowest D(E_F) belongs to which entry?

TbGaTe2